Density functional theory data (PBE) for a geometry-optimized Li3TeRu structure.

```
5
Lattice="-1.886 3.665 -2.358 -1.741 -2.989 -3.253 -3.995 -0.427 2.531" Properties=species:S:1:pos:R:3 pbc="T T T"
Li -0.871 -1.494 -1.627
Li -0.943 1.833 -1.179
Te -3.811 0.124 -1.540
Ru 0.000 0.000 0.000
Li -1.997 -0.214 1.266
```

Computed properties:
Polymorph energy (0 for the lowest one) = 0.00 eV per formula unit
Uncorrected formation energy = 515.9 meV per atom



Density functional theory data (PBE) for a geometry-optimized LiTe2Ru structure.

```
4
Lattice="3.346 0.006 0.000 -0.010 3.346 0.000 0.000 0.000 7.285" Properties=species:S:1:pos:R:3 pbc="T T T"
Te 0.000 0.000 7.092
Te 0.000 0.000 3.836
Li 1.668 1.676 1.821
Ru 1.668 1.676 5.464
```

Computed properties:
Uncorrected formation energy = -77.2 meV per atom



Density functional theory data (PBE) for a geometry-optimized LiTeRu structure.

```
3
Lattice="-1.911 3.070 -2.513 -2.115 -1.595 3.518 1.324 2.346 1.859" Properties=species:S:1:pos:R:3 pbc="T T T"
Ru -1.317 2.688 0.427
Te -1.385 1.133 2.437
Li 0.000 0.001 0.000
```

Computed properties:
Polymorph energy (0 for the lowest one) = 1.00 eV per formula unit
Uncorrected formation energy = -48.3 meV per atom



Density functional theory data (PBE) for a geometry-optimized LiTe3Ru structure.

```
5
Lattice="-1.327 -4.688 0.224 3.453 -1.133 -3.253 3.179 -0.727 3.627" Properties=species:S:1:pos:R:3 pbc="T T T"
Li 0.000 0.000 0.000
Te 1.589 -0.363 1.814
Ru 2.653 -3.274 0.299
Te 1.727 -0.566 -1.627
Te -0.663 -2.344 0.112
```

Computed properties:
Polymorph energy (0 for the lowest one) = 3.12 eV per formula unit
Uncorrected formation energy = 854.0 meV per atom



Density functional theory data (PBE) for a geometry-optimized LiTeRu structure.

```
3
Lattice="4.306 0.000 0.000 2.153 3.729 0.000 2.153 1.243 3.516" Properties=species:S:1:pos:R:3 pbc="T T T"
Te 0.000 0.000 0.000
Li 4.306 2.486 1.758
Ru 6.459 3.729 2.637
```

Computed properties:
Polymorph energy (0 for the lowest one) = 0.82 eV per formula unit
Uncorrected formation energy = -107.7 meV per atom



Density functional theory data (PBE) for a geometry-optimized Li4TeRu structure.

```
6
Lattice="0.000 3.467 3.467 3.467 0.000 3.467 3.467 3.467 0.000" Properties=species:S:1:pos:R:3 pbc="T T T"
Li 2.621 4.313 4.313
Te 0.000 0.000 0.000
Li 4.313 4.313 2.621
Ru 5.201 5.201 5.201
Li 2.621 2.621 2.621
Li 4.313 2.621 4.313
```

Computed properties:
Uncorrected formation energy = 20.1 meV per atom



Density functional theory data (PBE) for a geometry-optimized LiTe2Ru structure.

```
4
Lattice="10.407 0.252 0.149 9.818 3.462 0.149 9.818 1.803 2.959" Properties=species:S:1:pos:R:3 pbc="T T T"
Li 14.705 2.700 1.594
Te 0.822 0.151 0.089
Ru 22.567 4.144 2.446
Te 6.970 1.280 0.756
```

Computed properties:
Uncorrected formation energy = 96.5 meV per atom



Density functional theory data (PBE) for a geometry-optimized LiTe2Ru structure.

```
4
Lattice="-2.024 2.374 -4.276 -1.033 -3.064 -1.212 -3.980 0.486 2.154" Properties=species:S:1:pos:R:3 pbc="T T T"
Ru -4.969 -1.118 -1.545
Te -2.727 0.203 -1.873
Li -2.228 -0.929 0.539
Te -4.633 -2.226 0.957
```

Computed properties:
Uncorrected formation energy = -113.4 meV per atom